Crystalline KAl2Sb at its relaxed geometry. Source: Alexandria via LeMat-Bulk, functional GGA-PBEsol.

Unit cell a=3.735 b=3.735 c=7.779 alpha=90.00 beta=90.00 gamma=90.00
Space group P4/mmm (No. 123)
Unique sites:
K  0.000  0.000  0.000 (multiplicity 1)
Al  0.500  0.500  0.322 (multiplicity 2)
Sb  0.000  0.000  0.500 (multiplicity 1)

---

Crystalline KAlSb2 at its relaxed geometry. Source: Alexandria via LeMat-Bulk, functional GGA-PBEsol.

Unit cell a=3.7863 b=3.7863 c=27.3084 alpha=90.00 beta=90.00 gamma=120.00
Space group R-3m (No. 166, hexagonal axes)
Unique sites:
K  0.0000  0.0000  0.0000 (multiplicity 3)
Al  0.0000  0.0000  0.5000 (multiplicity 3)
Sb  0.0000  0.0000  0.2313 (multiplicity 6)

---

Crystalline K2AlSb at its relaxed geometry. Source: Alexandria via LeMat-Bulk, functional GGA-PBEsol.

Values from the calculation:
energy above the lowest structure with this stoichiometry	72.9	meV per atom

Unit cell a=5.536 b=5.536 c=4.213 alpha=90.00 beta=90.00 gamma=90.00
Space group P4/mmm (No. 123)
Unique sites:
K  0.000  0.500  0.000 (multiplicity 2)
Al  0.000  0.000  0.500 (multiplicity 1)
Sb  0.500  0.500  0.500 (multiplicity 1)

---

Crystalline KAl4Sb at its relaxed geometry. Source: Alexandria via LeMat-Bulk, functional GGA-PBEsol.

Unit cell a=8.057 b=8.057 c=8.057 alpha=90.00 beta=90.00 gamma=90.00
Space group F-43m (No. 216)
Unique sites:
K  0.000  0.000  0.000 (multiplicity 4)
Al  0.125  0.125  0.375 (multiplicity 16)
Sb  0.250  0.250  0.750 (multiplicity 4)

---

Crystalline K2AlSb at its relaxed geometry. Source: Alexandria via LeMat-Bulk, functional GGA-PBEsol.

Values from the calculation:
energy above the lowest structure with this stoichiometry	0.0	meV per atom

Unit cell a=3.287 b=3.287 c=11.088 alpha=90.00 beta=90.00 gamma=90.00
Space group P4/mmm (No. 123)
Unique sites:
K  0.000  0.000  0.240 (multiplicity 2)
Al  0.500  0.500  0.500 (multiplicity 1)
Sb  0.500  0.500  0.000 (multiplicity 1)

---

Crystalline KSrAlSb2 at its relaxed geometry. Source: Alexandria via LeMat-Bulk, functional GGA-PBEsol.

Unit cell a=5.962 b=5.962 c=5.967 alpha=90.00 beta=90.00 gamma=90.00
Space group P4/mmm (No. 123)
Unique sites:
K  0.000  0.000  0.000 (multiplicity 1)
Sr  0.000  0.000  0.500 (multiplicity 1)
Al  0.500  0.500  0.000 (multiplicity 1)
Sb  0.000  0.500  0.500 (multiplicity 2)

---

Crystalline KAlSbTe2 at its relaxed geometry. Source: Alexandria via LeMat-Bulk, functional GGA-PBEsol.

Unit cell a=5.542 b=5.542 c=5.191 alpha=90.00 beta=90.00 gamma=90.00
Space group P4/mmm (No. 123)
Unique sites:
K  0.000  0.000  0.000 (multiplicity 1)
Al  0.500  0.500  0.500 (multiplicity 1)
Sb  0.500  0.500  0.000 (multiplicity 1)
Te  0.000  0.500  0.500 (multiplicity 2)

---

Crystalline KAlSe2 at its relaxed geometry. Source: Alexandria via LeMat-Bulk, functional GGA-PBEsol.

Unit cell a=4.279 b=3.521 c=7.318 alpha=90.00 beta=98.87 gamma=90.00
Space group P2/m (No. 10)
Unique sites:
K  0.000  0.000  0.000 (multiplicity 1)
Al  0.500  0.000  0.500 (multiplicity 1)
Se  0.422  0.500  0.721 (multiplicity 2)

---

Crystalline K3AlSe3 at its relaxed geometry. Source: Alexandria via LeMat-Bulk, functional GGA-PBEsol.

Unit cell a=8.016 b=12.966 c=10.335 alpha=90.00 beta=127.37 gamma=90.00
Space group P2_1/c (No. 14)
Unique sites:
K  0.123  0.120  0.474 (multiplicity 4)
K  0.169  0.100  0.896 (multiplicity 4)
K  0.356  0.685  0.570 (multiplicity 4)
Al  0.440  0.063  0.340 (multiplicity 4)
Se  0.163  0.185  0.195 (multiplicity 4)
Se  0.333  0.606  0.869 (multiplicity 4)
Se  0.370  0.549  0.267 (multiplicity 4)

---

Crystalline KAlSe2 at its relaxed geometry. Source: Alexandria via LeMat-Bulk, functional GGA-PBEsol.

Unit cell a=10.831 b=10.832 c=15.415 alpha=90.00 beta=100.12 gamma=90.00
Space group C2/c (No. 15)
Unique sites:
K  0.035  0.187  0.391 (multiplicity 8)
K  0.216  0.438  0.112 (multiplicity 8)
Al  0.102  0.189  0.663 (multiplicity 8)
Al  0.145  0.436  0.837 (multiplicity 8)
Se  0.000  0.054  0.750 (multiplicity 4)
Se  0.000  0.428  0.250 (multiplicity 4)
Se  0.046  0.313  0.934 (multiplicity 8)
Se  0.205  0.062  0.568 (multiplicity 8)
Se  0.241  0.187  0.250 (multiplicity 8)

---

Crystalline K2ZrAlSe at its relaxed geometry. Source: Alexandria via LeMat-Bulk, functional GGA-PBEsol.

Unit cell a=5.996 b=5.996 c=5.001 alpha=90.00 beta=90.00 gamma=90.00
Space group P4/mmm (No. 123)
Unique sites:
K  0.000  0.500  0.000 (multiplicity 2)
Zr  0.000  0.000  0.500 (multiplicity 1)
Al  0.500  0.500  0.500 (multiplicity 1)
Se  0.500  0.500  0.000 (multiplicity 1)

---

Crystalline K2AlSi at its relaxed geometry. Source: Alexandria via LeMat-Bulk, functional GGA-PBEsol.

Values from the calculation:
energy above the lowest structure with this stoichiometry	606.1	meV per atom

Unit cell a=6.367 b=6.367 c=2.891 alpha=90.00 beta=90.00 gamma=90.00
Space group P4/mmm (No. 123)
Unique sites:
K  0.000  0.500  0.000 (multiplicity 2)
Al  0.000  0.000  0.500 (multiplicity 1)
Si  0.500  0.500  0.500 (multiplicity 1)

---

Number 1: VASP energy -3.36 eV/atom, raw formation energy 113 meV/atom, calculated density 3.3 g/cm³. Number 2: VASP energy -3.70 eV/atom, raw formation energy -118 meV/atom, calculated density 4.5 g/cm³. Number 3: VASP energy -2.57 eV/atom, raw formation energy 160 meV/atom, calculated density 2.9 g/cm³. Number 4: VASP energy -3.46 eV/atom, raw formation energy 215 meV/atom, calculated density 3.4 g/cm³. Number 5: VASP energy -2.64 eV/atom, raw formation energy 87 meV/atom, calculated density 3.1 g/cm³. Number 6: VASP energy -2.62 eV/atom, raw formation energy 617 meV/atom, calculated density 3.1 g/cm³. Number 7: VASP energy -3.48 eV/atom, raw formation energy -110 meV/atom, calculated density 4.6 g/cm³. Number 8: VASP energy -4.07 eV/atom, raw formation energy -838 meV/atom, calculated density 3.4 g/cm³. Number 9: VASP energy -3.89 eV/atom, raw formation energy -1170 meV/atom, calculated density 3.0 g/cm³. Number 10: VASP energy -4.35 eV/atom, raw formation energy -1122 meV/atom, calculated density 3.3 g/cm³. Number 11: VASP energy -3.15 eV/atom, raw formation energy 706 meV/atom, calculated density 2.5 g/cm³. Number 12: VASP energy -2.42 eV/atom, raw formation energy 610 meV/atom, calculated density 1.9 g/cm³.